This record from Alexandria via LeMat-Bulk describes a PBEsol-optimized structure of Na2MgSi5O12. The functional is SCAN.

Values from the calculation:
Uncorrected formation energy: -275.41 kJ/mol of atoms
Crystal system: tetragonal
VASP energy: -9.77 eV/atom
V: 187.1 Å³/f.u.
Density: 3.57 g/cm3
DOS(E_F): 0.00 states/eV per cell

Geometry as CIF:
```
data_Na2MgSi5O12
_chemical_formula_sum 'Na16 Mg8 Si40 O96'
_space_group_name_H-M_alt 'I 41/a c d'
_space_group_IT_number 142
_cell_length_a 11.449
_cell_length_b 11.449
_cell_length_c 11.418
_cell_angle_alpha 90.00
_cell_angle_beta 90.00
_cell_angle_gamma 90.00
loop_
_space_group_symop_operation_xyz
'x,y,z'
'-x,-y,-z'
'-y+1/4,x+3/4,z+1/4'
'y+1/4,-x+3/4,-z+1/4'
'-x+1/2,-y,z+1/2'
'x+1/2,y,-z+1/2'
'y+1/4,-x+1/4,z+3/4'
'-y+1/4,x+1/4,-z+3/4'
'x,-y,-z+1/2'
'-x,y,z+1/2'
'-y+1/4,-x+1/4,-z+1/4'
'y+1/4,x+1/4,z+1/4'
'-x+1/2,y,-z'
'x+1/2,-y,z'
'y+1/4,x+3/4,-z+3/4'
'-y+1/4,-x+3/4,z+3/4'
'x+1/2,y+1/2,z+1/2'
'-x+1/2,-y+1/2,-z+1/2'
'-y+3/4,x+1/4,z+3/4'
'y+3/4,-x+1/4,-z+3/4'
'-x,-y+1/2,z'
'x,y+1/2,-z'
'y+3/4,-x+3/4,z+1/4'
'-y+3/4,x+3/4,-z+1/4'
'x+1/2,-y+1/2,-z'
'-x+1/2,y+1/2,z'
'-y+3/4,-x+3/4,-z+3/4'
'y+3/4,x+3/4,z+3/4'
'-x,y+1/2,-z+1/2'
'x,-y+1/2,z+1/2'
'y+3/4,x+1/4,-z+1/4'
'-y+3/4,-x+1/4,z+1/4'
loop_
_atom_site_label
_atom_site_type_symbol
_atom_site_fract_x
_atom_site_fract_y
_atom_site_fract_z
Na1 Na 0.126 0.000 0.250
Mg1 Mg 0.000 0.250 0.125
Si1 Si 0.000 0.000 0.000
Si2 Si 0.000 0.250 0.375
Si3 Si 0.126 0.000 0.750
O1 O 0.036 0.045 0.646
O2 O 0.041 0.150 0.971
O3 O 0.145 0.037 0.456
```

***

This record from Alexandria via LeMat-Bulk describes a PBEsol-optimized structure of Li2MgZn. The functional is SCAN.

Values from the calculation:
Crystal system: tetragonal
ΔE_f: -0.12 eV/atom
VASP energy: -5.94 eV/atom
V: 67.1 Å³/f.u.
Density: 2.56 g/cm3
DOS(E_F): 2.66 states/eV per cell

Geometry as CIF:
```
data_Li2MgZn
_chemical_formula_sum 'Li4 Mg2 Zn2'
_space_group_name_H-M_alt 'I 4/m m m'
_space_group_IT_number 139
_space_group_name_Hall '-I 4 2'
_cell_length_a 4.045
_cell_length_b 4.045
_cell_length_c 8.206
_cell_angle_alpha 90.00
_cell_angle_beta 90.00
_cell_angle_gamma 90.00
loop_
_atom_site_label
_atom_site_type_symbol
_atom_site_fract_x
_atom_site_fract_y
_atom_site_fract_z
Li1 Li 0.000 0.500 0.250
Mg1 Mg 0.000 0.000 0.000
Zn1 Zn 0.000 0.000 0.500
```

***

This record from Alexandria via LeMat-Bulk describes a PBEsol-optimized structure of AsOsPdO2. The functional is SCAN.

Values from the calculation:
Uncorrected formation energy: -40.35 kJ/mol of atoms
Crystal system: tetragonal
VASP energy: -27.88 eV/atom
V: 73.9 Å³/f.u.
Density: 9.06 g/cm3
DOS(E_F): 1.83 states/eV per cell

Geometry as CIF:
```
data_AsOsPdO2
_chemical_formula_sum 'As1 Os1 Pd1 O2'
_space_group_name_H-M_alt 'P 4/m m m'
_space_group_IT_number 123
_space_group_name_Hall '-P 4 2'
_cell_length_a 3.674
_cell_length_b 3.674
_cell_length_c 5.478
_cell_angle_alpha 90.00
_cell_angle_beta 90.00
_cell_angle_gamma 90.00
loop_
_atom_site_label
_atom_site_type_symbol
_atom_site_fract_x
_atom_site_fract_y
_atom_site_fract_z
As1 As 0.000 0.000 0.000
Os1 Os 0.000 0.000 0.500
Pd1 Pd 0.500 0.500 0.000
O1 O 0.000 0.500 0.500
```

***

This record from Alexandria via LeMat-Bulk describes a PBEsol-optimized structure of KMnPCO7. The functional is SCAN.

Values from the calculation:
Uncorrected formation energy: -203.83 kJ/mol of atoms
Crystal system: monoclinic
VASP energy: -10.36 eV/atom
V: 142.0 Å³/f.u.
Density: 2.91 g/cm3
DOS(E_F): 0.00 states/eV per cell

Geometry as CIF:
```
data_KMnPCO7
_chemical_formula_sum 'K2 Mn2 P2 C2 O14'
_space_group_name_H-M_alt 'P 1 21 1'
_space_group_IT_number 4
_space_group_name_Hall 'P 2yb'
_cell_length_a 4.992
_cell_length_b 6.109
_cell_length_c 9.427
_cell_angle_alpha 90.00
_cell_angle_beta 98.89
_cell_angle_gamma 90.00
loop_
_atom_site_label
_atom_site_type_symbol
_atom_site_fract_x
_atom_site_fract_y
_atom_site_fract_z
K1 K 0.096 0.000 0.166
Mn1 Mn 0.272 0.944 0.656
P1 P 0.302 0.443 0.562
C1 C 0.462 0.945 0.901
O1 O 0.094 0.442 0.425
O2 O 0.198 0.943 0.851
O3 O 0.269 0.250 0.663
O4 O 0.271 0.638 0.662
O5 O 0.401 0.443 0.209
O6 O 0.409 0.944 0.480
O7 O 0.437 0.450 0.971
```

***

This record from Alexandria via LeMat-Bulk describes a PBEsol-optimized structure of InIN2O. The functional is SCAN.

Values from the calculation:
Uncorrected formation energy: 130.20 kJ/mol of atoms
Crystal system: tetragonal
VASP energy: -17.64 eV/atom
V: 72.3 Å³/f.u.
Density: 6.56 g/cm3
DOS(E_F): 2.31 states/eV per cell

Geometry as CIF:
```
data_InIN2O
_chemical_formula_sum 'In1 I1 N2 O1'
_space_group_name_H-M_alt 'P 4/m m m'
_space_group_IT_number 123
_space_group_name_Hall '-P 4 2'
_cell_length_a 4.239
_cell_length_b 4.239
_cell_length_c 4.024
_cell_angle_alpha 90.00
_cell_angle_beta 90.00
_cell_angle_gamma 90.00
loop_
_atom_site_label
_atom_site_type_symbol
_atom_site_fract_x
_atom_site_fract_y
_atom_site_fract_z
In1 In 0.000 0.000 0.000
I1 I 0.500 0.500 0.500
N1 N 0.000 0.500 0.000
O1 O 0.000 0.000 0.500
```

***

This record from Alexandria via LeMat-Bulk describes a PBEsol-optimized structure of CoSb2Rh. The functional is SCAN.

Values from the calculation:
Uncorrected formation energy: 5.16 kJ/mol of atoms
Crystal system: tetragonal
VASP energy: -31.35 eV/atom
V: 73.8 Å³/f.u.
Density: 9.12 g/cm3
Distance to the lowest polymorph of the same formula: 0.000 eV/atom
DOS(E_F): 3.47 states/eV per cell

Geometry as CIF:
```
data_CoSb2Rh
_chemical_formula_sum 'Co1 Sb2 Rh1'
_space_group_name_H-M_alt 'P 4 m m'
_space_group_IT_number 99
_space_group_name_Hall 'P 4 -2'
_cell_length_a 3.177
_cell_length_b 3.177
_cell_length_c 7.309
_cell_angle_alpha 90.00
_cell_angle_beta 90.00
_cell_angle_gamma 90.00
loop_
_atom_site_label
_atom_site_type_symbol
_atom_site_fract_x
_atom_site_fract_y
_atom_site_fract_z
Co1 Co 0.000 0.000 0.000
Sb1 Sb 0.000 0.000 0.405
Sb2 Sb 0.500 0.500 0.821
Rh1 Rh 0.500 0.500 0.207
```

***

This record from Alexandria via LeMat-Bulk describes a PBEsol-optimized structure of CuAsCl2. The functional is SCAN.

Values from the calculation:
Uncorrected formation energy: -1.53 kJ/mol of atoms
Crystal system: trigonal
VASP energy: -12.85 eV/atom
V: 70.5 Å³/f.u.
Density: 4.93 g/cm3
Distance to the lowest polymorph of the same formula: 0.000 eV/atom
DOS(E_F): 5.16 states/eV per cell

Geometry as CIF:
```
data_CuAsCl2
_chemical_formula_sum 'Cu3 As3 Cl6'
_space_group_name_H-M_alt 'R -3 m'
_space_group_IT_number 166
_space_group_name_Hall '-R 3 2"'
_cell_length_a 3.2477
_cell_length_b 3.2477
_cell_length_c 23.1581
_cell_angle_alpha 90.00
_cell_angle_beta 90.00
_cell_angle_gamma 120.00
loop_
_atom_site_label
_atom_site_type_symbol
_atom_site_fract_x
_atom_site_fract_y
_atom_site_fract_z
Cu1 Cu 0.0000 0.0000 0.0000
As1 As 0.0000 0.0000 0.5000
Cl1 Cl 0.0000 0.0000 0.2685
```

***

This record from Alexandria via LeMat-Bulk describes a PBEsol-optimized structure of CaMn2Au. The functional is SCAN.

Values from the calculation:
Crystal system: cubic
ΔE_f: -0.19 eV/atom
VASP energy: -29.02 eV/atom
V: 69.8 Å³/f.u.
Density: 8.25 g/cm3
DOS(E_F): 6.15 states/eV per cell

Geometry as CIF:
```
data_CaMn2Au
_chemical_formula_sum 'Ca4 Mn8 Au4'
_space_group_name_H-M_alt 'F m -3 m'
_space_group_IT_number 225
_space_group_name_Hall '-F 4 2 3'
_cell_length_a 6.536
_cell_length_b 6.536
_cell_length_c 6.536
_cell_angle_alpha 90.00
_cell_angle_beta 90.00
_cell_angle_gamma 90.00
loop_
_atom_site_label
_atom_site_type_symbol
_atom_site_fract_x
_atom_site_fract_y
_atom_site_fract_z
Ca1 Ca 0.000 0.000 0.000
Mn1 Mn 0.250 0.250 0.250
Au1 Au 0.000 0.000 0.500
```

***

This record from Alexandria via LeMat-Bulk describes a PBEsol-optimized structure of K2Hg. The functional is SCAN.

Values from the calculation:
Crystal system: orthorhombic
ΔE_f: -0.15 eV/atom
VASP energy: -28.42 eV/atom
V: 147.1 Å³/f.u.
Density: 3.15 g/cm3
Distance to the lowest polymorph of the same formula: 0.058 eV/atom
DOS(E_F): 4.76 states/eV per cell

Geometry as CIF:
```
data_K2Hg
_chemical_formula_sum 'K4 Hg2'
_space_group_name_H-M_alt 'P n n m'
_space_group_IT_number 58
_space_group_name_Hall '-P 2 2n'
_cell_length_a 8.143
_cell_length_b 8.425
_cell_length_c 4.287
_cell_angle_alpha 90.00
_cell_angle_beta 90.00
_cell_angle_gamma 90.00
loop_
_atom_site_label
_atom_site_type_symbol
_atom_site_fract_x
_atom_site_fract_y
_atom_site_fract_z
K1 K 0.212 0.154 0.000
Hg1 Hg 0.000 0.500 0.000
```

***

This record from Alexandria via LeMat-Bulk describes a PBEsol-optimized structure of SiP2O2. The functional is SCAN.

Values from the calculation:
Uncorrected formation energy: 22.42 kJ/mol of atoms
Crystal system: tetragonal
VASP energy: -8.42 eV/atom
V: 66.4 Å³/f.u.
Density: 3.05 g/cm3
Distance to the lowest polymorph of the same formula: 0.682 eV/atom
DOS(E_F): 1.90 states/eV per cell

Geometry as CIF:
```
data_SiP2O2
_chemical_formula_sum 'Si1 P2 O2'
_space_group_name_H-M_alt 'P 4/m m m'
_space_group_IT_number 123
_space_group_name_Hall '-P 4 2'
_cell_length_a 4.535
_cell_length_b 4.535
_cell_length_c 3.229
_cell_angle_alpha 90.00
_cell_angle_beta 90.00
_cell_angle_gamma 90.00
loop_
_atom_site_label
_atom_site_type_symbol
_atom_site_fract_x
_atom_site_fract_y
_atom_site_fract_z
Si1 Si 0.000 0.000 0.000
P1 P 0.000 0.500 0.000
O1 O 0.000 0.000 0.500
O2 O 0.500 0.500 0.500
```

***

> The lowest V belongs to which entry?

SiP2O2